Density functional theory data (PBE-GGA) for an optimized crystal structure of TaCoNiPt.

Geometry as extended XYZ:
```
4
Lattice="3.667 0.000 0.000 0.000 3.752 0.000 0.000 0.000 3.927" Properties=species:S:1:pos:R:3 pbc="T T T"
Ta 0.000 0.000 0.000
Co 1.833 1.876 0.000
Ni 1.833 0.000 1.964
Pt 0.000 1.876 1.964
```

Calculated values
Spin magnetization ... 0.000 μB per atom
Uncorrected energy ... -8.152 eV per atom
Density ... 15.2 g/cm³
Density of states at the Fermi level ... 0.153 states/eV/atom
ΔE_f ... -457 meV per atom

Density functional theory data (PBE-GGA) for an optimized crystal structure of UCoNiPt.

Geometry as extended XYZ:
```
4
Lattice="0.000 3.122 3.122 3.122 0.000 3.122 3.122 3.122 0.000" Properties=species:S:1:pos:R:3 pbc="T T T"
U 0.000 0.000 0.000
Co 4.683 4.683 4.683
Ni 1.561 1.561 1.561
Pt 3.122 3.122 3.122
```

Calculated values
Spin magnetization ... 0.286 μB per atom
Uncorrected energy ... -7.834 eV per atom
Energy above the lowest structure with this stoichiometry ... 106.3 meV/atom
Density ... 15.0 g/cm³
Density of states at the Fermi level ... 1.342 states/eV/atom
ΔE_f ... -280 meV per atom

Density functional theory data (PBE-GGA) for an optimized crystal structure of UCoNiPt.

Geometry as extended XYZ:
```
4
Lattice="3.736 0.000 0.000 0.000 3.917 0.000 0.000 0.000 4.148" Properties=species:S:1:pos:R:3 pbc="T T T"
U 0.000 0.000 0.000
Co 1.868 1.959 0.000
Ni 1.868 0.000 2.074
Pt 0.000 1.959 2.074
```

Calculated values
Spin magnetization ... 0.273 μB per atom
Uncorrected energy ... -7.940 eV per atom
Energy above the lowest structure with this stoichiometry ... 0.0 meV/atom
Density ... 15.1 g/cm³
Density of states at the Fermi level ... 1.294 states/eV/atom
ΔE_f ... -386 meV per atom

Density functional theory data (PBE-GGA) for an optimized crystal structure of V4Co3NiPt12.

Geometry as extended XYZ:
```
20
Lattice="-4.536 4.536 4.536 4.536 -4.536 4.536 4.536 4.536 -4.536" Properties=species:S:1:pos:R:3 pbc="T T T"
V 2.268 2.268 -2.268
V 2.268 -2.268 2.268
V -2.268 2.268 2.268
V 2.268 2.268 2.268
Co 4.536 0.000 0.000
Co 0.000 4.536 0.000
Co 0.000 0.000 4.536
Ni 0.000 0.000 0.000
Pt 4.536 -2.126 3.201
Pt 2.410 1.336 0.000
Pt 6.663 1.336 0.000
Pt 3.201 4.536 -2.126
Pt 1.336 0.000 2.410
Pt 0.000 2.410 1.336
Pt 4.536 2.126 3.201
Pt 3.201 4.536 2.126
Pt 1.336 0.000 6.663
Pt -2.126 3.201 4.536
Pt 2.126 3.201 4.536
Pt 0.000 6.663 1.336
```

Calculated values
Spin magnetization ... 0.347 μB per atom
Uncorrected energy ... -6.371 eV per atom
Density ... 12.4 g/cm³
Density of states at the Fermi level ... 1.239 states/eV/atom
ΔE_f ... 432 meV per atom

Density functional theory data (PBE-GGA) for an optimized crystal structure of V5Co2NiPt2.

Geometry as extended XYZ:
```
20
Lattice="8.640 0.000 0.000 0.000 8.640 0.000 0.000 0.000 3.566" Properties=species:S:1:pos:R:3 pbc="T T T"
V 0.000 4.320 0.000
V 0.595 1.728 0.000
V 1.728 8.045 0.000
V 2.592 3.725 0.000
V 3.725 6.048 0.000
V 4.320 0.000 0.000
V 4.916 2.592 0.000
V 6.048 4.916 0.000
V 6.912 0.595 0.000
V 8.045 6.912 0.000
Co 1.065 3.255 1.783
Co 3.255 7.576 1.783
Co 5.385 1.065 1.783
Co 7.576 5.385 1.783
Ni 0.000 0.000 1.783
Ni 4.320 4.320 1.783
Pt 1.498 5.818 1.783
Pt 2.822 1.498 1.783
Pt 5.818 7.142 1.783
Pt 7.142 2.822 1.783
```

Calculated values
Spin magnetization ... 0.000 μB per atom
Uncorrected energy ... -7.842 eV per atom
Density ... 10.2 g/cm³
Density of states at the Fermi level ... 1.517 states/eV/atom
ΔE_f ... -75 meV per atom

Density functional theory data (PBE-GGA) for an optimized crystal structure of CoNiPtW.

Geometry as extended XYZ:
```
4
Lattice="0.000 2.977 2.977 2.977 0.000 2.977 2.977 2.977 0.000" Properties=species:S:1:pos:R:3 pbc="T T T"
Co 0.000 0.000 0.000
Ni 2.977 2.977 2.977
Pt 1.488 1.488 1.488
W 4.465 4.465 4.465
```

Calculated values
Spin magnetization ... 0.262 μB per atom
Uncorrected energy ... -7.979 eV per atom
Density ... 15.6 g/cm³
Density of states at the Fermi level ... 0.943 states/eV/atom
ΔE_f ... -9 meV per atom

Which of these has the highest uncorrected energy?
V4Co3NiPt12